VASP calculation (PBE) on HfZrRhN2 after structural relaxation.

Computed properties:
The calculation puts the final energy at -7.322 eV/atom. The total magnetization is 0.00 μB per cell. As for the formation energy (no corrections): 1179.1 meV/atom.

abc: 4.0782 4.0782 4.8415
angles: 90.00 90.00 90.00
With the nearest neighbours (Å) after each atom.
Space group P4/mmm (No. 123)
Inequivalent atoms, fractional coordinates:
Hf 0.0000 0.0000 0.0000 (multiplicity 1)  2 Rh 2.42
Zr 0.5000 0.5000 0.0000 (multiplicity 1)  4 Hf 2.88, 8 N 3.17
Rh 0.0000 0.0000 0.5000 (multiplicity 1)  4 N 2.04
N 0.0000 0.5000 0.5000 (multiplicity 2)  2 Rh 2.04

VASP calculation (PBE) on KThPtO6 after structural relaxation.

Computed properties:
The calculation puts the final energy at -6.336 eV/atom. The total magnetization is 2.11 μB per cell. As for the formation energy (no corrections): -1412.8 meV/atom.

abc: 5.7647 5.7647 4.7622
angles: 90.00 90.00 120.00
With the nearest neighbours (Å) after each atom.
Space group P312 (No. 149)
Inequivalent atoms, fractional coordinates:
K 0.0000 0.0000 0.0000 (multiplicity 1)  6 O 2.53
Th 0.6667 0.3333 0.5000 (multiplicity 1)  6 O 2.32
Pt 0.3333 0.6667 0.0000 (multiplicity 1)  6 O 1.97
O 0.0401 0.4099 0.2418 (multiplicity 6)  1 Pt 1.97

VASP calculation (PBE) on Mg2BeTl after structural relaxation.

Computed properties:
The calculation puts the final energy at -2.001 eV/atom. The total magnetization is 0.00 μB per cell. The calculation puts the excess energy over the best structure of this formula in the dataset at 0.1032 eV/atom. The calculation puts the energy of formation from the pure elements at 319 meV per atom.

abc: 3.1337 3.1337 8.3753
angles: 90.00 90.00 90.00
With the nearest neighbours (Å) after each atom.
Space group P4mm (No. 99)
Inequivalent atoms, fractional coordinates:
Mg 0.0000 0.0000 0.0000 (multiplicity 1)  4 Be 2.73
Mg 0.5000 0.5000 0.2777 (multiplicity 1)  8 Mg 3.13-3.21, 4 Tl 3.35
Be 0.5000 0.5000 0.8087 (multiplicity 1)  4 Mg 2.73, 4 Tl 2.94
Tl 0.0000 0.0000 0.5782 (multiplicity 1)  4 Be 2.94, 4 Tl 3.13

VASP calculation (PBE) on ThNiAs3 after structural relaxation.

Computed properties:
The calculation puts the final energy at -6.131 eV/atom. The total magnetization is 0.00 μB per cell. The calculation puts the energy of formation from the pure elements at -701 meV per atom.

abc: 12.1510 5.7855 5.6534
angles: 90.00 90.00 90.00
With the nearest neighbours (Å) after each atom.
Space group Pbcm (No. 57)
Inequivalent atoms, fractional coordinates:
Th 0.1948 0.0030 0.2500 (multiplicity 4)  9 As 3.00-3.12
Ni 0.4159 0.7500 0.0000 (multiplicity 4)  6 As 2.39-2.60
As 0.9997 0.2500 0.0000 (multiplicity 4)  4 As 2.83-2.89, 4 Th 3.11-3.12
As 0.2774 0.5112 0.2500 (multiplicity 4)  2 Ni 2.60
As 0.4428 0.0986 0.2500 (multiplicity 4)  4 Ni 2.39-2.48

VASP calculation (PBE) on SrGeB after structural relaxation.

Computed properties:
The calculation puts the final energy at -4.342 eV/atom. The total magnetization is 0.00 μB per cell. The calculation puts the energy of formation from the pure elements at -16 meV per atom.

abc: 9.4290 3.7515 7.3453
angles: 90.00 98.17 90.00
With the nearest neighbours (Å) after each atom.
Space group C2/m (No. 12)
Inequivalent atoms, fractional coordinates:
Sr 0.1117 0.0000 0.2927 (multiplicity 4)  3 Ge 2.86-3.02, 4 B 2.99-3.13
Ge 0.1842 0.0000 0.8626 (multiplicity 4)  3 B 2.29-2.32
B 0.0866 0.5000 0.9726 (multiplicity 4)  1 B 1.74

VASP calculation (PBE) on Sr2PtBrN after structural relaxation.

Computed properties:
The calculation puts the final energy at -4.847 eV/atom. The total magnetization is 0.00 μB per cell. As for the formation energy (no corrections): -966.2 meV/atom.

abc: 5.4517 5.4517 3.9546
angles: 90.00 90.00 90.00
With the nearest neighbours (Å) after each atom.
Space group P4/mmm (No. 123)
Inequivalent atoms, fractional coordinates:
Sr 0.0000 0.5000 0.0000 (multiplicity 2)  2 N 2.73
Pt 0.0000 0.0000 0.5000 (multiplicity 1)  2 N 1.98
Br 0.5000 0.5000 0.5000 (multiplicity 1)  8 Sr 3.37
N 0.0000 0.0000 0.0000 (multiplicity 1)  2 Pt 1.98

VASP calculation (PBE) on LiGe2TeC after structural relaxation.

Computed properties:
The calculation puts the final energy at -3.286 eV/atom. The total magnetization is 0.00 μB per cell. As for the formation energy (no corrections): 1417.0 meV/atom.

abc: 5.5664 5.5664 4.1646
angles: 90.00 90.00 90.00
With the nearest neighbours (Å) after each atom.
Space group P4/mmm (No. 123)
Inequivalent atoms, fractional coordinates:
Li 0.0000 0.0000 0.0000 (multiplicity 1)  8 Ge 3.48
Ge 0.0000 0.5000 0.5000 (multiplicity 2)  2 Te 2.78
Te 0.5000 0.5000 0.5000 (multiplicity 1)  2 C 2.08
C 0.5000 0.5000 0.0000 (multiplicity 1)  2 Te 2.08

VASP calculation (PBE) on Ce2ErHf after structural relaxation.

Computed properties:
The calculation puts the final energy at -6.291 eV/atom. The total magnetization is 0.01 μB per cell. The calculation puts the excess energy over the best structure of this formula in the dataset at 0.1700 eV/atom. The calculation puts the energy of formation from the pure elements at 305 meV per atom.

abc: 3.1949 3.1949 35.9967
angles: 90.00 90.00 120.00
With the nearest neighbours (Å) after each atom.
Space group R-3m (No. 166, hexagonal axes)
Inequivalent atoms, fractional coordinates:
Ce 0.0000 0.0000 0.0816 (multiplicity 6)  1 Hf 2.94, 6 Ce 3.19
Er 0.0000 0.0000 0.5000 (multiplicity 3)  6 Er 3.19, 6 Ce 3.58
Hf 0.0000 0.0000 0.0000 (multiplicity 3)  2 Ce 2.94, 6 Hf 3.19

VASP calculation (PBE) on Ta2NbZnN after structural relaxation.

Computed properties:
The calculation puts the final energy at -9.005 eV/atom. The total magnetization is 0.00 μB per cell. As for the formation energy (no corrections): -330.4 meV/atom.

abc: 4.1826 4.1826 4.3825
angles: 90.00 90.00 90.00
With the nearest neighbours (Å) after each atom.
Space group P4/mmm (No. 123)
Inequivalent atoms, fractional coordinates:
Ta 0.0000 0.5000 0.0000 (multiplicity 2)  2 N 2.09
Nb 0.0000 0.0000 0.5000 (multiplicity 1)  2 N 2.19
Zn 0.5000 0.5000 0.5000 (multiplicity 1)  4 Nb 2.96, 8 Ta 3.03
N 0.0000 0.0000 0.0000 (multiplicity 1)  4 Ta 2.09, 2 Nb 2.19

VASP calculation (PBE) on CaTbGa3 after structural relaxation.

Computed properties:
The calculation puts the final energy at -3.719 eV/atom. The total magnetization is 0.00 μB per cell. The calculation puts the excess energy over the best structure of this formula in the dataset at 0.0000 eV/atom. The calculation puts the energy of formation from the pure elements at -577 meV per atom.

abc: 4.0974 26.4044 4.2608
angles: 90.00 90.00 90.00
With the nearest neighbours (Å) after each atom.
Space group Cmcm (No. 63)
Inequivalent atoms, fractional coordinates:
Ca 0.0000 0.2046 0.2500 (multiplicity 4)  7 Ga 3.10-3.33
Tb 0.0000 0.0692 0.7500 (multiplicity 4)  12 Ga 3.19-3.34
Ga 0.0000 0.3308 0.2500 (multiplicity 4)  2 Ga 2.55
Ga 0.0000 0.3839 0.7500 (multiplicity 4)  3 Ga 2.45-2.55
Ga 0.0000 0.4768 0.7500 (multiplicity 4)  3 Ga 2.45-2.46

VASP calculation (PBE) on Ba3TbDy2Te6 after structural relaxation.

Computed properties:
The calculation puts the final energy at -4.726 eV/atom. The total magnetization is 0.00 μB per cell. As for the formation energy (no corrections): -1521.1 meV/atom.

abc: 7.9361 13.7208 8.2604
angles: 90.00 108.66 90.00
With the nearest neighbours (Å) after each atom.
Space group C2/m (No. 12)
Inequivalent atoms, fractional coordinates:
Ba 0.0000 0.0000 0.0000 (multiplicity 2)  6 Te 3.45-3.46
Ba 0.0000 0.3337 0.0000 (multiplicity 4)  6 Te 3.45-3.46
Tb 0.0000 0.5000 0.5000 (multiplicity 2)  6 Te 3.14
Dy 0.0000 0.1667 0.5000 (multiplicity 4)  6 Te 3.13
Te 0.2373 0.0000 0.7150 (multiplicity 4)  2 Dy 3.13, 1 Tb 3.14, 3 Ba 3.45-3.46
Te 0.2389 0.3328 0.7153 (multiplicity 8)  2 Dy 3.13, 1 Tb 3.14, 3 Ba 3.45-3.46

VASP calculation (PBE) on Cr2ReSb after structural relaxation.

Computed properties:
The calculation puts the final energy at -8.126 eV/atom. The total magnetization is 14.05 μB per cell. As for the formation energy (no corrections): 828.6 meV/atom.

abc: 7.0420 7.0420 5.5658
angles: 90.00 90.00 90.00
With the nearest neighbours (Å) after each atom.
Space group I-42d (No. 122)
Inequivalent atoms, fractional coordinates:
Cr 0.2120 0.2500 0.1250 (multiplicity 8)  2 Re 2.41
Re 0.0000 0.0000 0.0000 (multiplicity 4)  4 Cr 2.41
Sb 0.0000 0.0000 0.5000 (multiplicity 4)  4 Cr 2.77, 2 Re 2.78